(1)
{"formula": "Bi2BIrC", "functional": "GGA-PBEsol", "state": "relaxed", "lattice_angstrom": [[5.426, 0.000, 0.000], [0.000, 5.426, 0.000], [0.000, 0.000, 3.710]], "species": ["Bi", "Bi", "B", "Ir", "C"], "frac_coords": [[0.000, 0.500, 0.000], [0.500, 0.000, 0.000], [0.000, 0.000, 0.500], [0.500, 0.500, 0.000], [0.500, 0.500, 0.500]], "dft_energy_ev_per_cell": -28.069, "ef_mev_per_atom": 1397}

(2)
{"formula": "Zr4Au", "functional": "GGA-PBEsol", "state": "relaxed", "lattice_angstrom": [[-3.629, 3.629, 1.943], [3.629, -3.629, 1.943], [3.629, 3.629, -1.943]], "species": ["Zr", "Zr", "Zr", "Zr", "Au"], "frac_coords": [[0.104, 0.700, 0.804], [0.300, 0.104, 0.403], [0.700, 0.896, 0.597], [0.896, 0.300, 0.196], [0.500, 0.500, 0.000]], "dft_energy_ev_per_cell": -41.424, "ef_mev_per_atom": -228}

(3)
{"formula": "RbTlCl2", "functional": "GGA-PBEsol", "state": "relaxed", "lattice_angstrom": [[0.000, 3.817, 3.817], [3.817, 0.000, 3.817], [3.817, 3.817, 0.000]], "species": ["Rb", "Tl", "Cl", "Cl"], "frac_coords": [[0.000, 0.000, 0.000], [0.500, 0.500, 0.500], [0.250, 0.250, 0.250], [0.750, 0.750, 0.750]], "dft_energy_ev_per_cell": -13.274, "de_polymorph_mev_per_atom": 0.0, "formation_energy_uncorrected_kj_per_mol_atoms": -135.14}

(4)
{"formula": "KTaAg2Se4", "functional": "GGA-PBEsol", "state": "relaxed", "lattice_angstrom": [[7.987, 0.000, 0.000], [0.000, 9.589, 2.996], [0.000, -9.589, 2.996]], "species": ["K", "K", "Ta", "Ta", "Ag", "Ag", "Ag", "Ag", "Se", "Se", "Se", "Se", "Se", "Se", "Se", "Se"], "frac_coords": [[0.250, 0.185, 0.815], [0.750, 0.815, 0.185], [0.250, 0.670, 0.901], [0.750, 0.901, 0.670], [0.000, 0.748, 0.748], [0.250, 0.165, 0.405], [0.500, 0.748, 0.748], [0.750, 0.405, 0.165], [0.003, 0.678, 0.436], [0.250, 0.015, 0.037], [0.250, 0.779, 0.222], [0.497, 0.678, 0.436], [0.503, 0.436, 0.678], [0.750, 0.037, 0.015], [0.750, 0.222, 0.779], [0.997, 0.436, 0.678]], "dft_energy_ev_per_cell": -81.335, "formation_energy_uncorrected_kj_per_mol_atoms": -59.82}

(5)
{"formula": "SbPt3I", "functional": "GGA-PBEsol", "state": "relaxed", "lattice_angstrom": [[4.933, 0.000, 0.000], [0.000, 4.933, 0.000], [0.000, 0.000, 4.933]], "species": ["Sb", "Pt", "Pt", "Pt", "I"], "frac_coords": [[0.000, 0.000, 0.000], [0.000, 0.500, 0.500], [0.500, 0.000, 0.500], [0.500, 0.500, 0.000], [0.500, 0.500, 0.500]], "dft_energy_ev_per_cell": -21.392, "formation_energy_uncorrected_kj_per_mol_atoms": 112.37}

(6)
{"formula": "Ba2CdOsPb", "functional": "GGA-PBEsol", "state": "relaxed", "lattice_angstrom": [[6.523, 0.000, 0.000], [0.000, 6.523, 0.000], [0.000, 0.000, 5.194]], "species": ["Ba", "Ba", "Cd", "Os", "Pb"], "frac_coords": [[0.000, 0.500, 0.000], [0.500, 0.000, 0.000], [0.000, 0.000, 0.500], [0.500, 0.500, 0.500], [0.000, 0.000, 0.000]], "dft_energy_ev_per_cell": -15.296, "ef_mev_per_atom": 1283}

(7)
{"formula": "Ta2NiRh", "functional": "GGA-PBEsol", "state": "relaxed", "lattice_angstrom": [[2.788, 0.000, 0.000], [0.000, 4.452, 0.000], [-0.456, 0.000, 4.770]], "species": ["Ta", "Ta", "Ni", "Rh"], "frac_coords": [[0.000, 0.000, 0.000], [0.174, 0.500, 0.620], [0.580, 0.500, 0.129], [0.590, 0.000, 0.481]], "dft_energy_ev_per_cell": -40.663, "ef_mev_per_atom": -316}

(8)
{"formula": "Y2TlIn2", "functional": "GGA-PBEsol", "state": "relaxed", "lattice_angstrom": [[-2.445, 2.445, 6.387], [2.445, -2.445, 6.387], [2.445, 2.445, -6.387]], "species": ["Y", "Y", "Tl", "In", "In"], "frac_coords": [[0.250, 0.750, 0.500], [0.750, 0.250, 0.500], [0.000, 0.000, 0.000], [0.397, 0.397, 0.000], [0.603, 0.603, 0.000]], "dft_energy_ev_per_cell": -22.038, "de_polymorph_mev_per_atom": 479.7, "ef_mev_per_atom": 41}

(9)
{"formula": "LiTa3Pt", "functional": "GGA-PBEsol", "state": "relaxed", "lattice_angstrom": [[4.293, 0.000, 0.000], [0.000, 4.293, 0.000], [0.000, 0.000, 4.293]], "species": ["Li", "Ta", "Ta", "Ta", "Pt"], "frac_coords": [[0.000, 0.000, 0.000], [0.000, 0.000, 0.500], [0.000, 0.500, 0.000], [0.500, 0.000, 0.000], [0.500, 0.500, 0.500]], "dft_energy_ev_per_cell": -42.002, "ef_mev_per_atom": 916}

(10)
{"formula": "LuCdRh2", "functional": "GGA-PBEsol", "state": "relaxed", "lattice_angstrom": [[0.000, 3.220, 3.220], [3.220, 0.000, 3.220], [3.220, 3.220, 0.000]], "species": ["Lu", "Cd", "Rh", "Rh"], "frac_coords": [[0.000, 0.000, 0.000], [0.500, 0.500, 0.500], [0.250, 0.250, 0.250], [0.750, 0.750, 0.750]], "dft_energy_ev_per_cell": -24.788, "ef_mev_per_atom": -610}

(11)
{"formula": "BeAs2Ru", "functional": "GGA-PBEsol", "state": "relaxed", "lattice_angstrom": [[-1.670, 2.249, 3.656], [1.670, -2.249, 3.656], [1.670, 2.249, -3.656]], "species": ["Be", "As", "As", "Ru"], "frac_coords": [[0.000, 0.000, 0.000], [0.219, 0.719, 0.500], [0.781, 0.281, 0.500], [0.500, 0.500, 0.000]], "dft_energy_ev_per_cell": -23.659, "ef_mev_per_atom": 182}

(12)
{"formula": "Li5WNO4", "functional": "GGA-PBEsol", "state": "relaxed", "lattice_angstrom": [[4.557, -2.447, 0.000], [4.557, 2.447, 0.000], [0.000, 0.000, 9.584]], "species": ["Li", "Li", "Li", "Li", "Li", "Li", "Li", "Li", "Li", "Li", "W", "W", "N", "N", "O", "O", "O", "O", "O", "O", "O", "O"], "frac_coords": [[0.059, 0.327, 0.229], [0.075, 0.925, 0.500], [0.268, 0.303, 0.977], [0.303, 0.268, 0.477], [0.327, 0.059, 0.729], [0.673, 0.941, 0.229], [0.697, 0.732, 0.977], [0.732, 0.697, 0.477], [0.925, 0.075, 0.000], [0.941, 0.673, 0.729], [0.313, 0.687, 0.221], [0.687, 0.313, 0.721], [0.326, 0.674, 0.703], [0.674, 0.326, 0.203], [0.038, 0.667, 0.093], [0.076, 0.631, 0.360], [0.333, 0.962, 0.093], [0.369, 0.924, 0.360], [0.631, 0.076, 0.860], [0.667, 0.038, 0.593], [0.924, 0.369, 0.860], [0.962, 0.333, 0.593]], "dft_energy_ev_per_cell": -147.598, "formation_energy_uncorrected_kj_per_mol_atoms": -180.99}

(13)
{"formula": "CuAg2MoIr", "functional": "GGA-PBEsol", "state": "relaxed", "lattice_angstrom": [[4.969, 0.000, 0.000], [0.000, 4.969, 0.000], [0.000, 0.000, 4.542]], "species": ["Cu", "Ag", "Ag", "Mo", "Ir"], "frac_coords": [[0.000, 0.000, 0.000], [0.000, 0.500, 0.500], [0.500, 0.000, 0.500], [0.500, 0.500, 0.500], [0.500, 0.500, 0.000]], "dft_energy_ev_per_cell": -23.117, "ef_mev_per_atom": 1886}

(14)
{"formula": "InTeRu2", "functional": "GGA-PBEsol", "state": "relaxed", "lattice_angstrom": [[1.485, 0.858, 9.973], [-1.485, 0.858, 9.973], [0.000, -1.715, 9.973]], "species": ["In", "Te", "Ru", "Ru"], "frac_coords": [[0.000, 0.000, 0.000], [0.214, 0.214, 0.214], [0.476, 0.476, 0.476], [0.743, 0.743, 0.743]], "dft_energy_ev_per_cell": -25.129, "de_polymorph_mev_per_atom": 204.5, "formation_energy_uncorrected_kj_per_mol_atoms": 41.61}

(15)
{"formula": "CaZnSe2", "functional": "GGA-PBEsol", "state": "relaxed", "lattice_angstrom": [[-3.424, 3.424, 4.192], [3.424, -3.424, 4.192], [3.424, 3.424, -4.192]], "species": ["Ca", "Ca", "Zn", "Zn", "Se", "Se", "Se", "Se"], "frac_coords": [[0.000, 0.000, 0.000], [0.750, 0.250, 0.500], [0.250, 0.750, 0.500], [0.500, 0.500, 0.000], [0.173, 0.125, 0.548], [0.375, 0.827, 0.952], [0.577, 0.625, 0.452], [0.875, 0.423, 0.048]], "dft_energy_ev_per_cell": -32.246, "formation_energy_uncorrected_kj_per_mol_atoms": -113.55}

(16)
{"formula": "Mn3Co20B6", "functional": "GGA-PBEsol", "state": "relaxed", "lattice_angstrom": [[0.000, 5.136, 5.136], [5.136, 0.000, 5.136], [5.136, 5.136, 0.000]], "species": ["Mn", "Mn", "Mn", "Co", "Co", "Co", "Co", "Co", "Co", "Co", "Co", "Co", "Co", "Co", "Co", "Co", "Co", "Co", "Co", "Co", "Co", "Co", "Co", "B", "B", "B", "B", "B", "B"], "frac_coords": [[0.000, 0.000, 0.000], [0.250, 0.250, 0.250], [0.750, 0.750, 0.750], [0.000, 0.000, 0.341], [0.000, 0.000, 0.659], [0.000, 0.341, 0.000], [0.000, 0.341, 0.659], [0.000, 0.659, 0.000], [0.000, 0.659, 0.341], [0.141, 0.620, 0.620], [0.341, 0.000, 0.000], [0.341, 0.000, 0.659], [0.341, 0.659, 0.000], [0.380, 0.380, 0.380], [0.380, 0.380, 0.859], [0.380, 0.859, 0.380], [0.620, 0.141, 0.620], [0.620, 0.620, 0.141], [0.620, 0.620, 0.620], [0.659, 0.000, 0.000], [0.659, 0.000, 0.341], [0.659, 0.341, 0.000], [0.859, 0.380, 0.380], [0.274, 0.274, 0.726], [0.274, 0.726, 0.274], [0.274, 0.726, 0.726], [0.726, 0.274, 0.274], [0.726, 0.274, 0.726], [0.726, 0.726, 0.274]], "dft_energy_ev_per_cell": -231.644, "ef_mev_per_atom": -190}

(17)
{"formula": "LiMnPt2", "functional": "GGA-PBEsol", "state": "relaxed", "lattice_angstrom": [[3.017, 0.000, 0.000], [0.000, 3.017, 0.000], [0.000, 0.000, 5.877]], "species": ["Li", "Mn", "Pt", "Pt"], "frac_coords": [[0.000, 0.000, 0.000], [0.000, 0.000, 0.500], [0.500, 0.500, 0.241], [0.500, 0.500, 0.759]], "dft_energy_ev_per_cell": -27.138, "de_polymorph_mev_per_atom": 21.2, "ef_mev_per_atom": -371}

(18)
{"formula": "SrCaCu2O4", "functional": "GGA-PBEsol", "state": "relaxed", "lattice_angstrom": [[3.866, 0.000, 0.000], [0.000, 1.717, 7.944], [0.000, -1.717, 7.944]], "species": ["Sr", "Ca", "Cu", "Cu", "O", "O", "O", "O"], "frac_coords": [[0.000, 0.000, 0.000], [0.500, 0.339, 0.339], [0.000, 0.733, 0.733], [0.500, 0.607, 0.607], [0.000, 0.616, 0.616], [0.000, 0.850, 0.850], [0.500, 0.486, 0.486], [0.500, 0.729, 0.729]], "dft_energy_ev_per_cell": -47.732, "de_polymorph_mev_per_atom": 11.5, "formation_energy_uncorrected_kj_per_mol_atoms": -169.97}

(19)
{"formula": "BaIn2Pt", "functional": "GGA-PBEsol", "state": "relaxed", "lattice_angstrom": [[-2.517, 2.927, 3.761], [2.517, -2.927, 3.761], [2.517, 2.927, -3.761]], "species": ["Ba", "In", "In", "Pt"], "frac_coords": [[0.000, 0.000, 0.000], [0.289, 0.789, 0.500], [0.534, 0.534, 0.000], [0.658, 0.158, 0.500]], "dft_energy_ev_per_cell": -16.285, "ef_mev_per_atom": -302}

(20)
{"formula": "InFeAg2", "functional": "GGA-PBEsol", "state": "relaxed", "lattice_angstrom": [[3.101, 0.000, 0.000], [0.000, 4.543, 0.000], [0.000, 0.000, 4.667]], "species": ["In", "Fe", "Ag", "Ag"], "frac_coords": [[0.000, 0.000, 0.000], [0.500, 0.500, 0.000], [0.000, 0.500, 0.500], [0.500, 0.000, 0.500]], "dft_energy_ev_per_cell": -17.613, "ef_mev_per_atom": 239}